# PBE+U Mn3O2F4, relaxed
# - Polymorph energy (0 for the lowest one): 0.01 eV per formula unit
# - Crystal system: triclinic
# - Size of the total moment: 26.00 μB/cell
# - VASP energy: -6.62 eV per atom
data_Mn3O2F4
_space_group_name_H-M_alt 'P -1'
_space_group_IT_number 2
_space_group_name_Hall '-P 1'
_cell_length_a 5.675
_cell_length_b 5.799
_cell_length_c 7.441
_cell_angle_alpha 73.76
_cell_angle_beta 73.62
_cell_angle_gamma 72.92
loop_
_atom_site_label
_atom_site_fract_x
_atom_site_fract_y
_atom_site_fract_z
Mn1 0.000 0.000 0.000
Mn2 0.000 0.000 0.500
Mn3 0.303 0.317 0.165
Mn4 0.308 0.369 0.682
O1 0.019 0.676 0.664
O2 0.207 0.227 0.972
F1 0.076 0.116 0.709
F2 0.331 0.704 0.987
F3 0.377 0.938 0.348
F4 0.414 0.425 0.364